Compound: AcTbPm2Ho
Source: Alexandria via LeMat-Bulk
Functional: PBE-GGA
Structure: optimized geometry

Summary:
As for the crystal system: orthorhombic. For the volume, the calculation gives 754.4 Å³ per cell. The total magnetization comes out at 0.000 μB per atom. The value obtained for the calculated formation energy is 0.35 eV per atom. For the total energy, the calculation gives -4.213 eV/atom.

abc: 8.4733 12.1348 7.3366
angles: 90.00 90.00 90.00
With the nearest neighbours (Å) after each atom.
Space group Cmcm (No. 63)
Symmetry-distinct sites (fractional):
Ac 0.0000 0.2459 0.2500  1 Tb 3.52, 2 Ho 3.73, 4 Pm 3.95
Tb 0.0000 0.0444 0.7500  1 Ho 3.12, 4 Pm 3.22
Pm 0.1942 0.5000 0.0000  2 Tb 3.22, 1 Pm 3.29, 2 Ho 3.44
Ho 0.0000 0.3019 0.7500  1 Tb 3.12, 4 Pm 3.44